# 1
## BeReCl4 (PBE)

Data for an optimized crystal structure of BeReCl4.

## Properties
- density of states at the Fermi level (states/eV/f.u.) = 2.197
- total magnetization (μB per cell) = 2.97
- formation energy from raw total energies (eV per atom) = 1.656

```
BeReCl4
1.0
0.0000 4.1081 4.1081
4.1081 0.0000 4.1081
4.1081 4.1081 0.0000
Be Re Cl
1 1 4
Direct
0.0000 0.0000 0.0000 Be
0.2500 0.2500 0.2500 Re
0.1275 0.6242 0.6242 Cl
0.6242 0.1275 0.6242 Cl
0.6242 0.6242 0.1275 Cl
0.6242 0.6242 0.6242 Cl
```

---

# 2
## BeReCl (PBE)

Data for an optimized crystal structure of BeReCl.

## Properties
- density of states at the Fermi level (states/eV/f.u.) = 1.155
- total magnetization (μB per cell) = 0.00
- excess energy over the best structure of this formula in the dataset (meV/atom) = 0
- formation energy from raw total energies (eV per atom) = 0.282

```
BeReCl
1.0
2.4224 -1.3989 0.0000
2.4224 1.3989 0.0000
-2.2082 0.0000 7.8792
Be Re Cl
1 1 1
Direct
0.0000 0.0000 0.0000 Be
0.2142 0.2142 0.7391 Re
0.7418 0.7418 0.1650 Cl
```

---

# 3
## BeRe2Cl (PBE)

Data for an optimized crystal structure of BeRe2Cl.

## Properties
- density of states at the Fermi level (states/eV/f.u.) = 4.147
- total magnetization (μB per cell) = 0.00
- excess energy over the best structure of this formula in the dataset (meV/atom) = 951
- formation energy from raw total energies (eV per atom) = 1.061

```
BeRe2Cl
1.0
0.0000 2.9491 2.9491
2.9491 0.0000 2.9491
2.9491 2.9491 0.0000
Be Re Cl
1 2 1
Direct
0.0000 0.0000 0.0000 Be
0.2500 0.2500 0.2500 Re
0.7500 0.7500 0.7500 Re
0.5000 0.5000 0.5000 Cl
```

---

# 4
## BeReCl (PBE)

Data for an optimized crystal structure of BeReCl.

## Properties
- density of states at the Fermi level (states/eV/f.u.) = 3.405
- total magnetization (μB per cell) = 1.15
- excess energy over the best structure of this formula in the dataset (meV/atom) = 1165
- formation energy from raw total energies (eV per atom) = 1.447

```
BeReCl
1.0
0.0000 2.8639 2.8639
2.8639 0.0000 2.8639
2.8639 2.8639 0.0000
Be Re Cl
1 1 1
Direct
0.0000 0.0000 0.0000 Be
0.7500 0.7500 0.7500 Re
0.5000 0.5000 0.5000 Cl
```

---

# 5
## BeRe3Cl (PBE)

Data for an optimized crystal structure of BeRe3Cl.

## Properties
- density of states at the Fermi level (states/eV/f.u.) = 3.843
- total magnetization (μB per cell) = 0.00
- excess energy over the best structure of this formula in the dataset (meV/atom) = 0
- formation energy from raw total energies (eV per atom) = 1.728

```
BeRe3Cl
1.0
4.2345 0.0000 0.0000
0.0000 4.2345 0.0000
0.0000 0.0000 4.2345
Be Re Cl
1 3 1
Direct
0.0000 0.0000 0.0000 Be
0.0000 0.0000 0.5000 Re
0.0000 0.5000 0.0000 Re
0.5000 0.0000 0.0000 Re
0.5000 0.5000 0.5000 Cl
```

---

# 6
## Be2ReCl (PBE)

Data for an optimized crystal structure of Be2ReCl.

## Properties
- density of states at the Fermi level (states/eV/f.u.) = 1.529
- total magnetization (μB per cell) = 0.00
- excess energy over the best structure of this formula in the dataset (meV/atom) = 326
- formation energy from raw total energies (eV per atom) = 0.392

```
Be2ReCl
1.0
-1.3630 1.9180 5.9653
1.3630 -1.9180 5.9653
1.3630 1.9180 -5.9653
Be Re Cl
2 1 1
Direct
0.0000 0.0000 0.0000 Be
0.6101 0.1101 0.5000 Be
0.4524 0.4524 0.0000 Re
0.2822 0.7822 0.5000 Cl
```

---

# 7
## Be2ReCl2 (PBE)

Data for an optimized crystal structure of Be2ReCl2.

## Properties
- density of states at the Fermi level (states/eV/f.u.) = 2.063
- total magnetization (μB per cell) = 3.48
- excess energy over the best structure of this formula in the dataset (meV/atom) = 251
- formation energy from raw total energies (eV per atom) = 1.108

```
Be2ReCl2
1.0
-1.9846 1.9846 4.9845
1.9846 -1.9846 4.9845
1.9846 1.9846 -4.9845
Be Re Cl
2 1 2
Direct
0.1062 0.1062 0.0000 Be
0.8938 0.8938 0.0000 Be
0.5000 0.5000 0.0000 Re
0.2500 0.7500 0.5000 Cl
0.7500 0.2500 0.5000 Cl
```

---

# 8
## Be2ReCl (PBE)

Data for an optimized crystal structure of Be2ReCl.

## Properties
- density of states at the Fermi level (states/eV/f.u.) = 4.026
- total magnetization (μB per cell) = 0.32
- excess energy over the best structure of this formula in the dataset (meV/atom) = 1052
- formation energy from raw total energies (eV per atom) = 1.118

```
Be2ReCl
1.0
0.0000 2.9137 2.9137
2.9137 0.0000 2.9137
2.9137 2.9137 0.0000
Be Re Cl
2 1 1
Direct
0.0000 0.0000 0.0000 Be
0.2500 0.2500 0.2500 Be
0.7500 0.7500 0.7500 Re
0.5000 0.5000 0.5000 Cl
```